5
Lattice="-1.8354 1.8354 4.7462 1.8354 -1.8354 4.7462 1.8354 1.8354 -4.7462" Properties=species:S:1:pos:R:3 comment="ZrRe2B2 GGA-PBE optimized geometry" space_group="No. 139" total_magnetization_mub_per_atom=0.0018 dft_energy_ev_per_atom=-9.6394 pbc="T T T"
Re 0.0000 1.8354 2.3731
Re 1.8354 0.0000 2.3731
B 0.0000 0.0000 5.6601
Zr 0.0000 0.0000 0.0000
B 0.0000 0.0000 3.8324